The following is a DFT calculation (PBE) of Cd2H3F6 after structural relaxation.

Cell: 6.4873 6.4733 10.3323 Å, 71.91 71.70 59.93°
Fractional positions:
Cd  0.3359  0.8362  0.9920
Cd  0.8359  0.3362  0.4920
Cd  0.6641  0.1638  0.0080
Cd  0.1641  0.6638  0.5080
H  0.0560  0.9456  0.7496
H  0.4458  0.2500  0.7500
H  0.7511  0.5544  0.7504
H  0.2489  0.4456  0.2496
H  0.9440  0.0544  0.2504
H  0.5542  0.7500  0.2500
F  0.0385  0.9347  0.8659
F  0.4363  0.1600  0.8658
F  0.6631  0.5372  0.8666
F  0.1608  0.4347  0.3659
F  0.9332  0.0372  0.3666
F  0.5379  0.6600  0.3658
F  0.9615  0.0653  0.1341
F  0.5637  0.8400  0.1342
F  0.3369  0.4628  0.1334
F  0.8392  0.5653  0.6341
F  0.0668  0.9628  0.6334
F  0.4621  0.3400  0.6342

Values from the calculation:
Its crystal system is monoclinic. As for the raw total energy: -3.798 eV/atom.

The following is a DFT calculation (PBE) of CdHF after structural relaxation.

Cell: 3.1376 4.4417 7.0925 Å, 93.72 90.00 110.68°
Fractional positions:
Cd  0.6516  0.3032  0.7103
Cd  0.3484  0.6968  0.2897
H  0.8731  0.7462  0.1526
H  0.1269  0.2538  0.8474
F  0.3670  0.7340  0.6115
F  0.6330  0.2660  0.3885

Values from the calculation:
Its crystal system is monoclinic. The energy above the most stable polymorph in this dataset is 72 meV per atom.

The following is a DFT calculation (PBE) of CdHF after structural relaxation.

Cell: 2.9682 2.9682 4.5128 Å, 109.20 109.20 90.00°
Fractional positions:
H  0.2811  0.2811  0.5622
Cd  0.7130  0.7130  0.4260
F  0.0059  0.0059  0.0118

Values from the calculation:
Its crystal system is tetragonal. The energy above the most stable polymorph in this dataset is 382 meV per atom.